No. 1
# SrPCl | Alexandria | PBE | optimized geometry
data_SrPCl
_symmetry_space_group_name_H-M 'P 1'
_symmetry_Int_Tables_number 1
_cell_length_a 10.730
_cell_length_b 4.166
_cell_length_c 8.163
_cell_angle_alpha 90.00
_cell_angle_beta 98.88
_cell_angle_gamma 90.00
loop_
_symmetry_equiv_pos_as_xyz
'x,y,z'
loop_
_atom_site_label
_atom_site_type_symbol
_atom_site_fract_x
_atom_site_fract_y
_atom_site_fract_z
_atom_site_occupancy
Sr1 Sr 0.546 0.000 0.294 1
Sr2 Sr 0.546 0.500 0.794 1
Sr3 Sr 0.979 0.000 0.881 1
Sr4 Sr 0.979 0.500 0.381 1
P1 P 0.719 0.000 0.015 1
P2 P 0.719 0.500 0.515 1
P3 P 0.807 0.000 0.531 1
P4 P 0.807 0.500 0.031 1
Cl1 Cl 0.109 0.000 0.229 1
Cl2 Cl 0.109 0.500 0.729 1
Cl3 Cl 0.417 0.000 0.590 1
Cl4 Cl 0.417 0.500 0.090 1
# ΔE_f (raw) = -1.510 eV/atom
# crystal system = monoclinic
# mass density = 2.84 Mg/m³
# magnetic moment = 0.00 μB per atom
# excess energy over the best structure of this formula in the dataset = 0.061 eV per atom

=====

No. 2
# SrP2Cl | Alexandria | PBE | optimized geometry
data_SrP2Cl
_symmetry_space_group_name_H-M 'P 1'
_symmetry_Int_Tables_number 1
_cell_length_a 5.323
_cell_length_b 5.323
_cell_length_c 5.159
_cell_angle_alpha 90.00
_cell_angle_beta 90.00
_cell_angle_gamma 124.05
loop_
_symmetry_equiv_pos_as_xyz
'x,y,z'
loop_
_atom_site_label
_atom_site_type_symbol
_atom_site_fract_x
_atom_site_fract_y
_atom_site_fract_z
_atom_site_occupancy
Cl1 Cl 0.000 0.500 0.500 1
P1 P 0.000 0.000 0.000 1
P2 P 0.500 0.500 0.000 1
Sr1 Sr 0.500 0.000 0.500 1
# ΔE_f (raw) = -0.293 eV/atom
# crystal system = orthorhombic
# mass density = 2.54 Mg/m³
# magnetic moment = 0.00 μB per atom
# excess energy over the best structure of this formula in the dataset = 0.677 eV per atom

=====

No. 3
# SrPCl | Alexandria | PBE | optimized geometry
data_SrPCl
_symmetry_space_group_name_H-M 'P 1'
_symmetry_Int_Tables_number 1
_cell_length_a 8.964
_cell_length_b 4.001
_cell_length_c 10.067
_cell_angle_alpha 90.00
_cell_angle_beta 104.69
_cell_angle_gamma 90.00
loop_
_symmetry_equiv_pos_as_xyz
'x,y,z'
loop_
_atom_site_label
_atom_site_type_symbol
_atom_site_fract_x
_atom_site_fract_y
_atom_site_fract_z
_atom_site_occupancy
Sr1 Sr 0.455 0.000 0.057 1
Sr2 Sr 0.455 0.500 0.557 1
Sr3 Sr 0.933 0.000 0.971 1
Sr4 Sr 0.933 0.500 0.471 1
P1 P 0.820 0.000 0.236 1
P2 P 0.820 0.500 0.736 1
P3 P 0.752 0.000 0.638 1
P4 P 0.752 0.500 0.138 1
Cl1 Cl 0.188 0.000 0.556 1
Cl2 Cl 0.188 0.500 0.056 1
Cl3 Cl 0.430 0.000 0.339 1
Cl4 Cl 0.430 0.500 0.839 1
# ΔE_f (raw) = -1.469 eV/atom
# crystal system = monoclinic
# mass density = 2.93 Mg/m³
# magnetic moment = 0.00 μB per atom
# excess energy over the best structure of this formula in the dataset = 0.102 eV per atom

=====

No. 4
# SrP2Cl | Alexandria | PBE | optimized geometry
data_SrP2Cl
_symmetry_space_group_name_H-M 'P 1'
_symmetry_Int_Tables_number 1
_cell_length_a 3.581
_cell_length_b 4.032
_cell_length_c 7.575
_cell_angle_alpha 79.33
_cell_angle_beta 90.00
_cell_angle_gamma 90.00
loop_
_symmetry_equiv_pos_as_xyz
'x,y,z'
loop_
_atom_site_label
_atom_site_type_symbol
_atom_site_fract_x
_atom_site_fract_y
_atom_site_fract_z
_atom_site_occupancy
Cl1 Cl 0.500 0.816 0.663 1
P1 P 0.000 0.993 0.158 1
P2 P 0.500 0.318 0.178 1
Sr1 Sr 0.000 0.374 0.501 1
# ΔE_f (raw) = -0.969 eV/atom
# crystal system = monoclinic
# mass density = 2.86 Mg/m³
# magnetic moment = 0.00 μB per atom
# excess energy over the best structure of this formula in the dataset = 0.000 eV per atom

=====

No. 5
# SrTcP2Cl | Alexandria | PBE | optimized geometry
data_SrTcP2Cl
_symmetry_space_group_name_H-M 'P 1'
_symmetry_Int_Tables_number 1
_cell_length_a 4.583
_cell_length_b 4.583
_cell_length_c 5.352
_cell_angle_alpha 90.00
_cell_angle_beta 90.00
_cell_angle_gamma 90.00
loop_
_symmetry_equiv_pos_as_xyz
'x,y,z'
loop_
_atom_site_label
_atom_site_type_symbol
_atom_site_fract_x
_atom_site_fract_y
_atom_site_fract_z
_atom_site_occupancy
Sr1 Sr 0.500 0.500 0.500 1
Tc1 Tc 0.000 0.000 0.000 1
P1 P 0.000 0.500 0.000 1
P2 P 0.500 0.000 0.000 1
Cl1 Cl 0.000 0.000 0.500 1
# ΔE_f (raw) = -0.545 eV/atom
# crystal system = tetragonal
# mass density = 4.18 Mg/m³
# magnetic moment = 0.00 μB per atom
# excess energy over the best structure of this formula in the dataset = 0.000 eV per atom

=====

No. 6
# SrTcPCl2 | Alexandria | PBE | optimized geometry
data_SrTcPCl2
_symmetry_space_group_name_H-M 'P 1'
_symmetry_Int_Tables_number 1
_cell_length_a 5.351
_cell_length_b 5.351
_cell_length_c 6.192
_cell_angle_alpha 90.00
_cell_angle_beta 90.00
_cell_angle_gamma 90.00
loop_
_symmetry_equiv_pos_as_xyz
'x,y,z'
loop_
_atom_site_label
_atom_site_type_symbol
_atom_site_fract_x
_atom_site_fract_y
_atom_site_fract_z
_atom_site_occupancy
Sr1 Sr 0.000 0.000 0.000 1
Tc1 Tc 0.500 0.500 0.500 1
P1 P 0.000 0.000 0.500 1
Cl1 Cl 0.000 0.500 0.000 1
Cl2 Cl 0.500 0.000 0.000 1
# ΔE_f (raw) = 0.313 eV/atom
# crystal system = tetragonal
# mass density = 2.69 Mg/m³
# magnetic moment = 0.77 μB per atom
# excess energy over the best structure of this formula in the dataset = 0.999 eV per atom

=====

No. 7
# SrTcPCl2 | Alexandria | PBE | optimized geometry
data_SrTcPCl2
_symmetry_space_group_name_H-M 'P 1'
_symmetry_Int_Tables_number 1
_cell_length_a 5.000
_cell_length_b 5.000
_cell_length_c 4.602
_cell_angle_alpha 90.00
_cell_angle_beta 90.00
_cell_angle_gamma 90.00
loop_
_symmetry_equiv_pos_as_xyz
'x,y,z'
loop_
_atom_site_label
_atom_site_type_symbol
_atom_site_fract_x
_atom_site_fract_y
_atom_site_fract_z
_atom_site_occupancy
Sr1 Sr 0.500 0.500 0.500 1
Tc1 Tc 0.000 0.000 0.000 1
P1 P 0.000 0.000 0.500 1
Cl1 Cl 0.000 0.500 0.000 1
Cl2 Cl 0.500 0.000 0.000 1
# ΔE_f (raw) = -0.686 eV/atom
# crystal system = tetragonal
# mass density = 4.15 Mg/m³
# magnetic moment = 0.10 μB per atom
# excess energy over the best structure of this formula in the dataset = 0.000 eV per atom

=====

No. 8
# SrTcP2Cl | Alexandria | PBE | optimized geometry
data_SrTcP2Cl
_symmetry_space_group_name_H-M 'P 1'
_symmetry_Int_Tables_number 1
_cell_length_a 5.518
_cell_length_b 5.518
_cell_length_c 5.233
_cell_angle_alpha 90.00
_cell_angle_beta 90.00
_cell_angle_gamma 90.00
loop_
_symmetry_equiv_pos_as_xyz
'x,y,z'
loop_
_atom_site_label
_atom_site_type_symbol
_atom_site_fract_x
_atom_site_fract_y
_atom_site_fract_z
_atom_site_occupancy
Sr1 Sr 0.000 0.000 0.000 1
Tc1 Tc 0.500 0.500 0.500 1
P1 P 0.000 0.500 0.000 1
P2 P 0.500 0.000 0.000 1
Cl1 Cl 0.000 0.000 0.500 1
# ΔE_f (raw) = 1.550 eV/atom
# crystal system = tetragonal
# mass density = 2.95 Mg/m³
# magnetic moment = 0.05 μB per atom
# excess energy over the best structure of this formula in the dataset = 2.095 eV per atom